a:
The following is a PBE-GGA calculation of a relaxed InAg2Au2 crystal, from the Alexandria database.

Results
- Magnetic moment: 0.0 μB per cell

Unit cell a=3.909 b=3.909 c=13.965 alpha=90.00 beta=90.00 gamma=90.00
Space group I4/mmm (No. 139)
Inequivalent atoms, fractional coordinates:
In1 0.000 0.000 0.000 x2
Ag1 0.000 0.000 0.402 x4
Au1 0.000 0.500 0.250 x4

b:
The following is a PBE-GGA calculation of a relaxed InAg2Au2 crystal, from the Alexandria database.

Results
- Magnetic moment: 0.0 μB per cell

Unit cell a=3.903 b=3.903 c=13.907 alpha=90.00 beta=90.00 gamma=90.00
Space group I4/mmm (No. 139)
Inequivalent atoms, fractional coordinates:
In1 0.000 0.000 0.000 x2
Ag1 0.000 0.500 0.250 x4
Au1 0.000 0.000 0.401 x4

Verdict on stability: b comes out on top.

a:
The following is a PBE-GGA calculation of a relaxed InAg2Au2 crystal, from the Alexandria database.

Results
- Magnetic moment: 0.0 μB per cell

Unit cell a=8.281 b=8.281 c=2.941 alpha=90.00 beta=90.00 gamma=90.00
Space group P4/mbm (No. 127)
Inequivalent atoms, fractional coordinates:
In1 0.000 0.000 0.000 x2
Ag1 0.122 0.378 0.000 x4
Au1 0.175 0.675 0.500 x4

b:
The following is a PBE-GGA calculation of a relaxed InAg2Au2 crystal, from the Alexandria database.

Results
- Magnetic moment: 0.0 μB per cell

Unit cell a=7.365 b=7.365 c=3.701 alpha=90.00 beta=90.00 gamma=90.00
Space group P4/mbm (No. 127)
Inequivalent atoms, fractional coordinates:
In1 0.000 0.000 0.000 x2
Ag1 0.158 0.342 0.500 x4
Au1 0.140 0.640 0.000 x4

c:
The following is a PBE-GGA calculation of a relaxed InAg2Au2 crystal, from the Alexandria database.

Results
- Magnetic moment: 0.0 μB per cell

Unit cell a=10.011 b=5.315 c=7.657 alpha=90.00 beta=112.86 gamma=90.00
Space group C2/c (No. 15)
Inequivalent atoms, fractional coordinates:
In1 0.000 0.147 0.250 x4
Ag1 0.102 0.348 0.949 x8
Au1 0.199 0.168 0.653 x8

Verdict on stability: c comes out on top.